Record 1
First-principles (PBE-GGA) data for an optimized crystal structure of Zr2AlW, as listed in Alexandria.

Calculated values
magnetic moment	0.0	μB/cell
mass density	7.971	g/cm³
formation energy from the elements	484	meV/atom
symmetry	I-42d (122)
D(E_F)	6.864	states/eV/cell

Unit cell a=7.641 b=7.641 c=6.089 alpha=51.13 beta=51.13 gamma=90.00
Fractional positions:
1 W 0.750 0.250 0.500
2 W 0.000 0.000 0.000
3 Zr 0.875 0.887 0.750
4 Zr 0.637 0.125 0.250
5 Zr 0.375 0.363 0.750
6 Zr 0.113 0.625 0.250
7 Al 0.500 0.500 0.000
8 Al 0.250 0.750 0.500

Record 2
First-principles (PBE-GGA) data for an optimized crystal structure of HgTePd2, as listed in Alexandria.

Calculated values
magnetic moment	0.0	μB/cell
mass density	10.472	g/cm³
raw total energy	-0.136	Ha/atom
symmetry	P2_1/c (14)
D(E_F)	5.530	states/eV/cell

Unit cell a=5.784 b=7.028 c=8.442 alpha=90.00 beta=90.00 gamma=90.00
Fractional positions:
1 Pd 0.500 0.750 0.616
2 Te 0.250 0.422 0.629
3 Pd 0.000 0.250 0.856
4 Pd 0.000 0.750 0.144
5 Hg 0.750 0.103 0.115
6 Pd 0.500 0.750 0.144
7 Hg 0.750 0.603 0.885
8 Te 0.250 0.922 0.371
9 Pd 0.000 0.750 0.616
10 Pd 0.000 0.250 0.384
11 Hg 0.250 0.397 0.115
12 Pd 0.500 0.250 0.384
13 Te 0.750 0.078 0.629
14 Pd 0.500 0.250 0.856
15 Hg 0.250 0.897 0.885
16 Te 0.750 0.578 0.371

> The lowest mass density belongs to which entry?

Zr2AlW

> Look up the mass density of the first one.

7.971 g/cm³